Below is a relaxed structure of LiV3O8, with properties calculated at the PBE with a Hubbard U level.

Summary:
excess energy over the best structure of this formula in the dataset = 7.6 kJ/mol of atoms
total magnetic moment = 0.0 Bohr magnetons per cell

Structure (CIF):
```
data_LiV3O8
_chemical_formula_sum 'Li2 V6 O16'
_symmetry_space_group_name_H-M 'C 1 m 1'
_symmetry_Int_Tables_number 8
_symmetry_space_group_name_Hall 'C -2y'
_cell_length_a 12.7403
_cell_length_b 3.3826
_cell_length_c 7.8781
_cell_angle_alpha 90.00
_cell_angle_beta 107.57
_cell_angle_gamma 90.00
loop_
_atom_site_label
_atom_site_fract_x
_atom_site_fract_y
_atom_site_fract_z
Li1 0.0000 0.0000 0.0000
V1 0.1900 0.0000 0.4147
V2 0.2818 0.0000 0.9304
V3 0.4834 0.0000 0.5002
O1 0.0181 0.5000 0.7156
O2 0.1368 0.0000 0.1963
O3 0.1443 0.5000 0.4631
O4 0.2447 0.0000 0.7080
O5 0.2446 0.5000 0.9903
O6 0.3320 0.0000 0.4311
O7 0.4213 0.0000 0.0042
O8 0.4948 0.5000 0.4184
```